The following is a GGA+U calculation of an optimized crystal structure of MnBeF3, from Alexandria.

The structure belongs to space group Pm-3m (No. 221); the cell edges are 3.764, 3.764 and 3.764 Å and the angles 90.00°, 90.00° and 90.00°. The asymmetric unit holds Mn at (0.000, 0.000, 0.000), Be at (0.500, 0.500, 0.500) and F at (0.000, 0.500, 0.500).

The energy above the most stable polymorph in this dataset comes out at 0 meV/atom. As for the crystal system: cubic. The calculation puts the total magnetization at 1.131 μB per atom.